A relaxed ZrPaOs2 crystal, computed with GGA-PBE.

It has space group P4/mmm (No. 123), with a = 3.237 Å, b = 3.237 Å, c = 7.240 Å, α = 90.00°, β = 90.00° and γ = 90.00°. The distinct sites, in fractional coordinates, are Zr at (0.000, 0.000, 0.000), Pa at (0.000, 0.000, 0.500) and Os at (0.500, 0.500, 0.230).

For the calculated total energy, the calculation gives -41.8 eV/f.u. The mass density comes out at 15.38 Mg/m³. The formation energy comes out at -0.331 eV/atom. Its density of states at the Fermi level is 4.1 states/eV/cell. The offset from the most stable computed form is 0 meV/atom. Its size of the total moment is 0.000 μB/cell.